KNa2LiF | Alexandria | PBE-GGA | optimized geometry; total energy = -2.41 eV per atom; SG = P4/mmm; E_form (uncorrected) = -908 meV/atom
1.0
5.031 0.000 0.000
0.000 5.031 0.000
0.000 0.000 5.505
K Na Li F
1 2 1 1
Direct
0.000 0.000 0.000 K
0.000 0.500 0.500 Na
0.500 0.000 0.500 Na
0.500 0.500 0.000 Li
0.000 0.000 0.500 F

---

GaSiF2 | Alexandria | PBE-GGA | optimized geometry; total energy = -3.80 eV per atom; SG = Fm-3m; energy above the most stable polymorph in this dataset = 724 meV per atom; E_form (uncorrected) = -752 meV/atom
1.0
0.000 3.076 3.076
3.076 0.000 3.076
3.076 3.076 0.000
Ga Si F
1 1 2
Direct
0.000 0.000 0.000 Ga
0.500 0.500 0.500 Si
0.250 0.250 0.250 F
0.750 0.750 0.750 F

---

TaSCl | Alexandria | PBE-GGA | optimized geometry; total energy = -6.95 eV per atom; SG = P2_1/c; E_form (uncorrected) = -1009 meV/atom
1.0
8.209 0.000 0.000
0.000 5.446 0.000
-0.010 0.000 6.371
Ta S Cl
4 4 4
Direct
0.090 0.250 0.000 Ta
0.090 0.250 0.500 Ta
0.910 0.750 0.000 Ta
0.910 0.750 0.500 Ta
0.116 0.606 0.250 S
0.116 0.894 0.750 S
0.884 0.106 0.250 S
0.884 0.394 0.750 S
0.311 0.104 0.251 Cl
0.311 0.396 0.751 Cl
0.689 0.604 0.249 Cl
0.689 0.896 0.749 Cl

---

Rb2HgBr | Alexandria | PBE-GGA | optimized geometry; total energy = -1.94 eV per atom; SG = Cmcm; energy above the most stable polymorph in this dataset = 0 meV per atom; E_form (uncorrected) = -960 meV/atom
1.0
2.491 -14.398 0.000
2.491 14.398 0.000
0.000 0.000 5.126
Rb Hg Br
4 2 2
Direct
0.070 0.930 0.750 Rb
0.311 0.689 0.750 Rb
0.689 0.311 0.250 Rb
0.930 0.070 0.250 Rb
0.472 0.528 0.750 Hg
0.528 0.472 0.250 Hg
0.191 0.809 0.750 Br
0.809 0.191 0.250 Br

---

CaY5N6 | Alexandria | PBE-GGA | optimized geometry; total energy = -8.51 eV per atom; SG = C2/m; E_form (uncorrected) = -1486 meV/atom
1.0
3.019 -5.230 0.000
3.019 5.230 0.000
-2.016 0.000 5.690
Ca Y N
1 5 6
Direct
0.000 0.000 0.000 Ca
0.166 0.834 0.500 Y
0.333 0.667 0.000 Y
0.500 0.500 0.500 Y
0.667 0.333 0.000 Y
0.834 0.166 0.500 Y
0.085 0.429 0.254 N
0.258 0.258 0.743 N
0.429 0.085 0.254 N
0.571 0.915 0.746 N
0.742 0.742 0.257 N
0.915 0.571 0.746 N

---

Th2ZnSi3Pt12 | Alexandria | PBE-GGA | optimized geometry; total energy = -6.41 eV per atom; SG = R-3m; E_form (uncorrected) = -588 meV/atom
1.0
4.137 2.389 5.952
-4.137 2.389 5.952
0.000 -4.777 5.952
Th Zn Si Pt
2 1 3 12
Direct
0.115 0.115 0.115 Th
0.885 0.885 0.885 Th
0.500 0.500 0.500 Zn
0.000 0.500 0.500 Si
0.500 0.000 0.500 Si
0.500 0.500 0.000 Si
0.126 0.633 0.633 Pt
0.143 0.143 0.606 Pt
0.143 0.606 0.143 Pt
0.367 0.367 0.874 Pt
0.367 0.874 0.367 Pt
0.394 0.857 0.857 Pt
0.606 0.143 0.143 Pt
0.633 0.126 0.633 Pt
0.633 0.633 0.126 Pt
0.857 0.394 0.857 Pt
0.857 0.857 0.394 Pt
0.874 0.367 0.367 Pt